## Nb3SbO (GGA-PBEsol)

Data for an optimized crystal structure of Nb3SbO.

Properties
formation energy without anion corrections	2213	meV/atom
magnetization	0.505	μB per formula unit

```
Nb3SbO
1.0
5.008 0.000 0.000
0.000 5.008 0.000
0.000 0.000 5.008
Sb Nb O
1 3 1
direct
0.000 0.000 0.000 Sb
0.000 0.500 0.000 Nb
0.000 0.000 0.500 Nb
0.500 0.000 0.000 Nb
0.500 0.500 0.500 O
```


## Rb3CaF6 (GGA-PBEsol)

Data for an optimized crystal structure of Rb3CaF6.

Properties
formation energy without anion corrections	-2776	meV/atom
magnetization	1.191	μB per formula unit

```
Rb3CaF6
1.0
-3.462 4.364 -0.260
-2.387 -5.076 3.434
5.336 1.086 3.962
Ca Rb F
1 3 6
direct
0.000 0.000 0.000 Ca
0.455 0.686 0.222 Rb
0.545 0.314 0.778 Rb
0.000 0.500 0.500 Rb
0.504 0.895 0.877 F
0.763 0.727 0.669 F
0.237 0.273 0.331 F
0.496 0.105 0.123 F
0.939 0.713 0.160 F
0.061 0.287 0.840 F
```


## MnCd2Ag (GGA-PBEsol)

Data for an optimized crystal structure of MnCd2Ag.

Properties
DFT formation energy	63	kJ/mol of formula units
magnetization	3.447	μB per formula unit

```
MnCd2Ag
1.0
-1.712 -0.909 -2.237
-2.227 -0.466 1.893
-2.485 7.397 -1.104
Ag Cd Mn
1 2 1
direct
0.500 0.500 0.500 Ag
0.000 0.000 0.759 Cd
0.000 0.000 0.241 Cd
0.500 0.500 0.000 Mn
```


## K3TcB (GGA-PBEsol)

Data for an optimized crystal structure of K3TcB.

Properties
DFT formation energy	1088	kJ/mol of formula units
magnetization	5.345	μB per formula unit

```
K3TcB
1.0
-4.486 -1.581 -3.994
3.217 -5.063 -1.609
-2.846 -3.231 4.476
K B Tc
3 1 1
direct
0.000 0.500 0.000 K
0.000 0.000 0.500 K
0.500 0.000 0.000 K
0.500 0.500 0.500 B
0.000 0.000 0.000 Tc
```